(w)
# RbInIBr | the Alexandria database | GGA-PBE | relaxed
# DOS at the Fermi energy ... 0.0000 states/eV per atom
data_RbInIBr
_symmetry_space_group_name_H-M 'P 1'
_symmetry_Int_Tables_number 1
_symmetry_space_group_name_Hall 'P 1'
_cell_length_a 5.987
_cell_length_b 5.987
_cell_length_c 5.987
_cell_angle_alpha 60.00
_cell_angle_beta 60.00
_cell_angle_gamma 60.00
loop_
_atom_site_label
_atom_site_type_symbol
_atom_site_fract_x
_atom_site_fract_y
_atom_site_fract_z
Br1 Br 0.750 0.750 0.750
In1 In 0.500 0.500 0.500
Rb1 Rb 0.000 0.000 0.000
I1 I 0.250 0.250 0.250

(x)
# RbInIBr | the Alexandria database | GGA-PBE | relaxed
# DOS at the Fermi energy ... 0.0000 states/eV per atom
data_RbInIBr
_symmetry_space_group_name_H-M 'P 1'
_symmetry_Int_Tables_number 1
_symmetry_space_group_name_Hall 'P 1'
_cell_length_a 5.048
_cell_length_b 5.050
_cell_length_c 6.961
_cell_angle_alpha 90.22
_cell_angle_beta 90.00
_cell_angle_gamma 90.00
loop_
_atom_site_label
_atom_site_type_symbol
_atom_site_fract_x
_atom_site_fract_y
_atom_site_fract_z
I1 I 0.500 0.391 0.093
Br1 Br 0.000 0.892 0.592
In1 In 0.500 0.392 0.593
Rb1 Rb 0.000 0.891 0.092

The least stable of them is (w).

(w)
# InSbI2Br | the Alexandria database | GGA-PBE | relaxed
# DOS at the Fermi energy ... 0.6351 states/eV per atom
data_InSbI2Br
_symmetry_space_group_name_H-M 'P 1'
_symmetry_Int_Tables_number 1
_symmetry_space_group_name_Hall 'P 1'
_cell_length_a 5.750
_cell_length_b 5.750
_cell_length_c 6.071
_cell_angle_alpha 90.00
_cell_angle_beta 90.00
_cell_angle_gamma 90.00
loop_
_atom_site_label
_atom_site_type_symbol
_atom_site_fract_x
_atom_site_fract_y
_atom_site_fract_z
Br1 Br 0.500 0.500 0.500
I1 I 0.500 0.000 0.000
I2 I 0.000 0.500 0.000
Sb1 Sb 0.000 0.000 0.500
In1 In 0.000 0.000 0.000

(x)
# InSbI2Br | the Alexandria database | GGA-PBE | relaxed
# DOS at the Fermi energy ... 0.8129 states/eV per atom
data_InSbI2Br
_symmetry_space_group_name_H-M 'P 1'
_symmetry_Int_Tables_number 1
_symmetry_space_group_name_Hall 'P 1'
_cell_length_a 6.618
_cell_length_b 6.618
_cell_length_c 5.477
_cell_angle_alpha 90.00
_cell_angle_beta 90.00
_cell_angle_gamma 90.00
loop_
_atom_site_label
_atom_site_type_symbol
_atom_site_fract_x
_atom_site_fract_y
_atom_site_fract_z
Br1 Br 0.000 0.000 0.000
I1 I 0.500 0.000 0.000
In1 In 0.500 0.500 0.500
Sb1 Sb 0.000 0.000 0.500
I2 I 0.000 0.500 0.000

The least stable of them is (x).

(w)
# InTeI2Br | the Alexandria database | GGA-PBE | relaxed
# DOS at the Fermi energy ... 0.9792 states/eV per atom
data_InTeI2Br
_symmetry_space_group_name_H-M 'P 1'
_symmetry_Int_Tables_number 1
_symmetry_space_group_name_Hall 'P 1'
_cell_length_a 6.047
_cell_length_b 6.047
_cell_length_c 6.021
_cell_angle_alpha 90.00
_cell_angle_beta 90.00
_cell_angle_gamma 90.00
loop_
_atom_site_label
_atom_site_type_symbol
_atom_site_fract_x
_atom_site_fract_y
_atom_site_fract_z
I1 I 0.500 0.000 0.000
Te1 Te 0.000 0.000 0.500
In1 In 0.500 0.500 0.500
I2 I 0.000 0.500 0.000
Br1 Br 0.000 0.000 0.000

(x)
# InTeI2Br | the Alexandria database | GGA-PBE | relaxed
# DOS at the Fermi energy ... 1.2933 states/eV per atom
data_InTeI2Br
_symmetry_space_group_name_H-M 'P 1'
_symmetry_Int_Tables_number 1
_symmetry_space_group_name_Hall 'P 1'
_cell_length_a 5.860
_cell_length_b 5.860
_cell_length_c 6.068
_cell_angle_alpha 90.00
_cell_angle_beta 90.00
_cell_angle_gamma 90.00
loop_
_atom_site_label
_atom_site_type_symbol
_atom_site_fract_x
_atom_site_fract_y
_atom_site_fract_z
In1 In 0.000 0.000 0.000
I1 I 0.500 0.000 0.000
I2 I 0.000 0.500 0.000
Te1 Te 0.000 0.000 0.500
Br1 Br 0.500 0.500 0.500

The least stable of them is (w).

(w)
# Ir3IBr | the Alexandria database | GGA-PBE | relaxed
# DOS at the Fermi energy ... 1.2274 states/eV per atom
data_Ir3IBr
_symmetry_space_group_name_H-M 'P 1'
_symmetry_Int_Tables_number 1
_symmetry_space_group_name_Hall 'P 1'
_cell_length_a 4.736
_cell_length_b 4.736
_cell_length_c 4.736
_cell_angle_alpha 90.00
_cell_angle_beta 90.00
_cell_angle_gamma 90.00
loop_
_atom_site_label
_atom_site_type_symbol
_atom_site_fract_x
_atom_site_fract_y
_atom_site_fract_z
Ir1 Ir 0.000 0.500 0.000
I1 I 0.500 0.500 0.500
Br1 Br 0.000 0.000 0.000
Ir2 Ir 0.500 0.000 0.000
Ir3 Ir 0.000 0.000 0.500

(x)
# Ir3IBr | the Alexandria database | GGA-PBE | relaxed
# DOS at the Fermi energy ... 1.5366 states/eV per atom
data_Ir3IBr
_symmetry_space_group_name_H-M 'P 1'
_symmetry_Int_Tables_number 1
_symmetry_space_group_name_Hall 'P 1'
_cell_length_a 4.943
_cell_length_b 4.943
_cell_length_c 4.943
_cell_angle_alpha 90.00
_cell_angle_beta 90.00
_cell_angle_gamma 90.00
loop_
_atom_site_label
_atom_site_type_symbol
_atom_site_fract_x
_atom_site_fract_y
_atom_site_fract_z
Ir1 Ir 0.000 0.000 0.500
Ir2 Ir 0.000 0.500 0.000
Br1 Br 0.500 0.500 0.500
I1 I 0.000 0.000 0.000
Ir3 Ir 0.500 0.000 0.000

The least stable of them is (x).

(w)
# IrIBrN2 | the Alexandria database | GGA-PBE | relaxed
# DOS at the Fermi energy ... 0.2706 states/eV per atom
data_IrIBrN2
_symmetry_space_group_name_H-M 'P 1'
_symmetry_Int_Tables_number 1
_symmetry_space_group_name_Hall 'P 1'
_cell_length_a 3.884
_cell_length_b 3.884
_cell_length_c 8.583
_cell_angle_alpha 90.00
_cell_angle_beta 90.00
_cell_angle_gamma 90.00
loop_
_atom_site_label
_atom_site_type_symbol
_atom_site_fract_x
_atom_site_fract_y
_atom_site_fract_z
Ir1 Ir 0.000 0.000 0.000
Br1 Br 0.500 0.500 0.500
N1 N 0.000 0.500 0.000
N2 N 0.500 0.000 0.000
I1 I 0.000 0.000 0.500

(x)
# IrIBrN2 | the Alexandria database | GGA-PBE | relaxed
# DOS at the Fermi energy ... 0.9612 states/eV per atom
data_IrIBrN2
_symmetry_space_group_name_H-M 'P 1'
_symmetry_Int_Tables_number 1
_symmetry_space_group_name_Hall 'P 1'
_cell_length_a 3.807
_cell_length_b 3.807
_cell_length_c 8.532
_cell_angle_alpha 90.00
_cell_angle_beta 90.00
_cell_angle_gamma 90.00
loop_
_atom_site_label
_atom_site_type_symbol
_atom_site_fract_x
_atom_site_fract_y
_atom_site_fract_z
I1 I 0.000 0.000 0.500
Br1 Br 0.000 0.000 0.000
N1 N 0.500 0.000 0.000
N2 N 0.000 0.500 0.000
Ir1 Ir 0.500 0.500 0.500

The least stable of them is (x).

(w)
# IrIBrO2 | the Alexandria database | GGA-PBE | relaxed
# DOS at the Fermi energy ... 0.7626 states/eV per atom
data_IrIBrO2
_symmetry_space_group_name_H-M 'P 1'
_symmetry_Int_Tables_number 1
_symmetry_space_group_name_Hall 'P 1'
_cell_length_a 3.888
_cell_length_b 3.888
_cell_length_c 8.266
_cell_angle_alpha 90.00
_cell_angle_beta 90.00
_cell_angle_gamma 90.00
loop_
_atom_site_label
_atom_site_type_symbol
_atom_site_fract_x
_atom_site_fract_y
_atom_site_fract_z
O1 O 0.000 0.500 0.000
Ir1 Ir 0.000 0.000 0.000
Br1 Br 0.500 0.500 0.500
O2 O 0.500 0.000 0.000
I1 I 0.000 0.000 0.500

(x)
# IrIBrO2 | the Alexandria database | GGA-PBE | relaxed
# DOS at the Fermi energy ... 1.0340 states/eV per atom
data_IrIBrO2
_symmetry_space_group_name_H-M 'P 1'
_symmetry_Int_Tables_number 1
_symmetry_space_group_name_Hall 'P 1'
_cell_length_a 3.799
_cell_length_b 3.799
_cell_length_c 8.208
_cell_angle_alpha 90.00
_cell_angle_beta 90.00
_cell_angle_gamma 90.00
loop_
_atom_site_label
_atom_site_type_symbol
_atom_site_fract_x
_atom_site_fract_y
_atom_site_fract_z
Br1 Br 0.000 0.000 0.000
I1 I 0.000 0.000 0.500
Ir1 Ir 0.500 0.500 0.500
O1 O 0.500 0.000 0.000
O2 O 0.000 0.500 0.000

The least stable of them is (x).